Record 1
A plane-wave DFT calculation with PBE was carried out for a geometry-optimized Li4CeF8 structure.

Geometry as extended XYZ:
```
13
Lattice="0.0000 4.3068 4.3068 4.3068 0.0000 4.3068 4.3068 4.3068 0.0000" Properties=species:S:1:pos:R:3 pbc="T T T"
Li 0.9388 0.9388 0.9388
Li 3.3680 3.3680 0.9388
Li 3.3680 0.9388 3.3680
Li 0.9388 3.3680 3.3680
Ce 4.3068 4.3068 4.3068
F 7.6337 5.2868 5.2868
F 3.1003 3.1003 3.1003
F 5.5133 5.5133 3.1003
F 5.5133 3.1003 5.5133
F 5.2868 7.6337 5.2868
F 5.2868 5.2868 7.6337
F 7.6337 7.6337 7.6337
F 3.1003 5.5133 5.5133
```

Results
calculated total energy = -5.205 eV per atom
total moment = 0.353 μB per formula unit
space-group type = F-43m (216)



Record 2
A plane-wave DFT calculation with PBE was carried out for a geometry-optimized AgAuSe structure.

Geometry as extended XYZ:
```
6
Lattice="4.6721 0.0000 0.0000 1.5267 4.6310 0.0000 0.3762 0.1340 6.8454" Properties=species:S:1:pos:R:3 pbc="T T T"
Ag 0.0000 0.0000 0.0000
Ag 3.4475 3.6268 4.5687
Au 2.3002 1.7934 0.1443
Au 3.9233 3.9284 1.6832
Se 1.5842 3.0452 2.2120
Se 3.5745 0.9830 4.8771
```

Results
calculated total energy = -3.236 eV per atom
total moment = 0.000 μB per formula unit
space-group type = P1 (1)



Record 3
A plane-wave DFT calculation with PBE was carried out for a geometry-optimized Ho3Al4Ga2 structure.

Geometry as extended XYZ:
```
9
Lattice="5.2482 -2.2394 0.0000 5.2482 2.2394 0.0000 -3.3714 0.0000 7.8337" Properties=species:S:1:pos:R:3 pbc="T T T"
Ho 0.0000 0.0000 0.0000
Ho 2.3242 0.0000 2.6456
Ho 4.8008 0.0000 5.1881
Al -0.8113 0.0000 2.9547
Al -0.3256 0.0000 7.3240
Al 7.4506 0.0000 0.5097
Al 7.9362 0.0000 4.8790
Ga 1.6543 0.0000 5.6596
Ga 5.4707 0.0000 2.1741
```

Results
formation energy from the elements = -0.537 eV per atom
total moment = 0.000 μB per formula unit
space-group type = C2/m (12)



Record 4
A plane-wave DFT calculation with PBE was carried out for a geometry-optimized NiSbN3 structure.

Geometry as extended XYZ:
```
5
Lattice="3.7533 0.0000 0.0000 0.0000 3.7533 0.0000 0.0000 0.0000 3.7533" Properties=species:S:1:pos:R:3 pbc="T T T"
Ni 0.0000 0.0000 0.0000
Sb 1.8767 1.8767 1.8767
N 0.0000 0.0000 1.8767
N 0.0000 1.8767 0.0000
N 1.8767 0.0000 0.0000
```

Results
calculated total energy = -5.519 eV per atom
total moment = 0.000 μB per formula unit
space-group type = Pm-3m (221)



- What is the total moment in the second record?
  0.000 μB per formula unit